PtRh2Br: optimized geometry, PBE-GGA.

Cell and atoms, written as POSCAR:
```
PtRh2Br
1.0
-1.913 3.185 -3.293
-4.174 -2.683 -0.170
-5.696 4.045 3.480
Rh Br Pt
4 2 2
Direct
0.610 0.125 0.250 Rh
0.140 0.625 0.250 Rh
0.375 0.390 0.750 Rh
0.875 0.860 0.750 Rh
0.500 0.500 0.000 Br
0.250 0.750 0.500 Br
0.000 0.000 0.000 Pt
0.750 0.250 0.500 Pt
```

- formation energy (no corrections) (eV/atom) = 0.8318


Li2BePt: optimized geometry, PBE-GGA.

Cell and atoms, written as POSCAR:
```
Li2BePt
1.0
-1.801 -0.060 -2.787
0.813 -3.186 -0.457
-3.746 -1.308 2.449
Be Li Pt
1 2 1
Direct
0.500 0.500 0.750 Be
0.000 0.000 0.007 Li
0.000 0.000 0.493 Li
0.500 0.500 0.250 Pt
```

- formation energy (meV/atom) = -187


TmHCl3: optimized geometry, PBE-GGA.

Cell and atoms, written as POSCAR:
```
TmHCl3
1.0
7.185 0.000 -0.656
0.000 7.054 0.000
-2.518 0.000 12.059
Tm H Cl
4 4 12
Direct
0.000 0.250 0.084 Tm
0.000 0.750 0.584 Tm
0.000 0.250 0.416 Tm
0.000 0.750 0.916 Tm
0.055 0.750 0.259 H
0.945 0.750 0.241 H
0.055 0.250 0.759 H
0.945 0.250 0.741 H
0.765 0.024 0.478 Cl
0.765 0.976 0.978 Cl
0.239 0.750 0.791 Cl
0.235 0.524 0.058 Cl
0.239 0.250 0.291 Cl
0.235 0.976 0.522 Cl
0.765 0.524 0.442 Cl
0.761 0.750 0.709 Cl
0.765 0.476 0.942 Cl
0.761 0.250 0.209 Cl
0.235 0.024 0.022 Cl
0.235 0.476 0.558 Cl
```

- E (eV per atom) = -4.477


Pa2Ga2Pd: optimized geometry, PBE-GGA.

Cell and atoms, written as POSCAR:
```
Pa2Ga2Pd
1.0
-3.034 -0.069 -1.385
-0.952 -3.771 2.274
-1.927 5.561 3.943
Pa Ga Pd
2 2 1
Direct
0.500 0.396 0.792 Pa
0.500 0.604 0.208 Pa
0.000 0.801 0.602 Ga
0.000 0.199 0.398 Ga
0.000 0.000 0.000 Pd
```

- formation energy (meV/atom) = -364


PRhS2I: optimized geometry, PBE-GGA.

Cell and atoms, written as POSCAR:
```
PRhS2I
1.0
4.993 0.000 0.000
0.000 4.993 0.000
0.000 0.000 5.172
I P S Rh
1 1 2 1
Direct
0.000 0.000 0.000 I
0.000 0.000 0.500 P
0.000 0.500 0.000 S
0.500 0.000 0.000 S
0.500 0.500 0.500 Rh
```

- formation energy (no corrections) (eV/atom) = 1.6808


Tl2SiBi: optimized geometry, PBE-GGA.

Cell and atoms, written as POSCAR:
```
Tl2SiBi
1.0
6.630 0.000 0.000
0.000 6.630 0.000
3.315 3.315 6.403
Tl Si Bi
4 2 2
Direct
0.577 0.125 0.250 Tl
0.173 0.625 0.250 Tl
0.375 0.423 0.750 Tl
0.875 0.827 0.750 Tl
0.500 0.500 0.000 Si
0.250 0.750 0.500 Si
0.000 0.000 0.000 Bi
0.750 0.250 0.500 Bi
```

- formation energy (no corrections) (eV/atom) = 0.4176


Pm5Sn5Pd2: optimized geometry, PBE-GGA.

Cell and atoms, written as POSCAR:
```
Pm5Sn5Pd2
1.0
-1.363 -3.977 2.013
0.384 -0.673 -6.467
11.174 0.137 7.838
Pm Sn Pd
5 5 2
Direct
0.500 0.000 0.500 Pm
0.665 0.330 0.006 Pm
0.649 0.299 0.266 Pm
0.351 0.701 0.734 Pm
0.335 0.670 0.994 Pm
0.154 0.307 0.447 Sn
0.677 0.354 0.779 Sn
0.323 0.646 0.221 Sn
0.846 0.693 0.553 Sn
0.000 0.000 0.000 Sn
0.057 0.113 0.783 Pd
0.943 0.887 0.217 Pd
```

- formation energy (meV/atom) = -666


ThCo2P2Rh: optimized geometry, PBE-GGA.

Cell and atoms, written as POSCAR:
```
ThCo2P2Rh
1.0
-2.378 2.940 1.279
1.424 -2.684 2.588
5.180 3.742 1.031
Th Co P Rh
1 2 2 1
Direct
0.000 0.000 0.000 Th
0.667 0.333 0.313 Co
0.333 0.667 0.687 Co
0.667 0.333 0.692 P
0.333 0.667 0.308 P
0.000 0.000 0.500 Rh
```

- formation energy (meV/atom) = -796


LiBe3B: optimized geometry, PBE-GGA.

Cell and atoms, written as POSCAR:
```
LiBe3B
1.0
-0.722 2.263 -2.751
-0.716 -2.841 -2.150
-3.489 0.115 1.010
Be B Li
3 1 1
Direct
0.000 0.500 0.000 Be
0.000 0.000 0.500 Be
0.500 0.000 0.000 Be
0.000 0.000 0.000 B
0.500 0.500 0.500 Li
```

- formation energy (meV/atom) = 151


FeReSi2: optimized geometry, PBE-GGA.

Cell and atoms, written as POSCAR:
```
FeReSi2
1.0
4.245 0.000 0.000
0.000 2.806 0.002
0.000 -0.003 4.222
Fe Re Si
1 1 2
Direct
0.000 0.375 0.507 Fe
0.500 0.875 0.725 Re
0.000 0.875 0.047 Si
0.500 0.375 0.222 Si
```

- formation energy (no corrections) (eV/atom) = -0.1709


RbHfTe2I: optimized geometry, PBE-GGA.

Cell and atoms, written as POSCAR:
```
RbHfTe2I
1.0
5.633 0.000 0.000
0.000 5.633 0.000
0.000 0.000 5.933
I Te Hf Rb
1 2 1 1
Direct
0.000 0.000 0.500 I
0.000 0.500 0.000 Te
0.500 0.000 0.000 Te
0.000 0.000 0.000 Hf
0.500 0.500 0.500 Rb
```

- formation energy (no corrections) (eV/atom) = -0.8133


GaHRu: optimized geometry, PBE-GGA.

Cell and atoms, written as POSCAR:
```
GaHRu
1.0
-3.550 0.343 -1.136
0.714 -1.520 -2.690
-0.970 -1.637 2.537
Ru Ga H
1 1 1
Direct
0.166 0.000 0.000 Ru
0.666 0.333 0.667 Ga
0.167 0.667 0.333 H
```

- E (eV per atom) = -5.378


Sr2GeRuN: optimized geometry, PBE-GGA.

Cell and atoms, written as POSCAR:
```
Sr2GeRuN
1.0
5.422 0.000 0.000
0.000 5.422 0.000
0.000 0.000 3.810
Ru Ge N Sr
1 1 1 2
Direct
0.000 0.000 0.500 Ru
0.500 0.500 0.500 Ge
0.000 0.000 0.000 N
0.000 0.500 0.000 Sr
0.500 0.000 0.000 Sr
```

- formation energy (no corrections) (eV/atom) = -0.3755


NbVHg3: optimized geometry, PBE-GGA.

Cell and atoms, written as POSCAR:
```
NbVHg3
1.0
5.367 0.000 0.000
0.000 5.367 0.000
0.000 0.000 5.367
Nb Hg V
1 3 1
Direct
0.000 0.000 0.000 Nb
0.000 0.500 0.000 Hg
0.000 0.000 0.500 Hg
0.500 0.000 0.000 Hg
0.500 0.500 0.500 V
```

- formation energy (meV/atom) = 1290


Cs2BaInPb2: optimized geometry, PBE-GGA.

Cell and atoms, written as POSCAR:
```
Cs2BaInPb2
1.0
5.351 0.000 0.000
0.000 8.904 0.000
0.000 0.000 11.217
Cs Ba In Pb
4 2 2 4
Direct
0.500 0.007 0.086 Cs
0.000 0.337 0.162 Cs
0.500 0.507 0.914 Cs
0.000 0.837 0.838 Cs
0.000 0.008 0.464 Ba
0.000 0.508 0.536 Ba
0.500 0.157 0.659 In
0.500 0.657 0.341 In
0.000 0.247 0.791 Pb
0.500 0.290 0.397 Pb
0.000 0.747 0.209 Pb
0.500 0.790 0.603 Pb
```

- formation energy (meV/atom) = -244


CaYTa2: optimized geometry, PBE-GGA.

Cell and atoms, written as POSCAR:
```
CaYTa2
1.0
-6.481 -1.956 8.233
-6.114 -5.096 7.089
-3.836 -3.796 9.192
Y Ca Ta
1 1 2
Direct
0.513 0.513 0.513 Y
0.740 0.740 0.740 Ca
0.987 0.987 0.987 Ta
0.260 0.260 0.260 Ta
```

- formation energy (meV/atom) = 524


LiCaPm2In4: optimized geometry, PBE-GGA.

Cell and atoms, written as POSCAR:
```
LiCaPm2In4
1.0
-1.368 2.227 -4.643
-0.753 -3.055 -4.300
-9.189 -1.127 -0.891
Li Ca Pm In
1 1 2 4
Direct
0.500 0.500 0.500 Li
0.000 0.000 0.000 Ca
0.752 0.752 0.743 Pm
0.248 0.248 0.257 Pm
0.378 0.378 0.866 In
0.873 0.873 0.381 In
0.127 0.127 0.619 In
0.622 0.622 0.134 In
```

- formation energy (meV/atom) = -417


BaYMo2: optimized geometry, PBE-GGA.

Cell and atoms, written as POSCAR:
```
BaYMo2
1.0
10.971 0.003 0.002
10.508 3.150 0.002
10.508 1.543 2.747
Ba Mo Y
1 2 1
Direct
0.750 0.750 0.750 Ba
0.993 0.993 0.993 Mo
0.507 0.507 0.507 Mo
0.250 0.250 0.250 Y
```

- formation energy (meV/atom) = 1199


La2PmDy2: optimized geometry, PBE-GGA.

Cell and atoms, written as POSCAR:
```
La2PmDy2
1.0
9.387 0.000 -5.089
-2.758 8.971 -5.088
-2.030 -2.747 7.458
La Pm Dy
4 2 4
Direct
0.891 0.391 0.000 La
0.109 0.609 0.000 La
0.609 0.891 0.000 La
0.391 0.109 0.000 La
0.750 0.750 0.500 Pm
0.250 0.250 0.500 Pm
0.311 0.811 0.000 Dy
0.689 0.189 0.000 Dy
0.189 0.311 0.000 Dy
0.811 0.689 0.000 Dy
```

- formation energy (meV/atom) = 451


Zr2TlI: optimized geometry, PBE-GGA.

Cell and atoms, written as POSCAR:
```
Zr2TlI
1.0
-0.178 -4.663 -2.070
-2.728 -3.686 2.244
-4.310 -1.667 -2.170
I Tl Zr
1 1 2
Direct
0.000 0.000 0.000 I
0.500 0.500 0.500 Tl
0.250 0.250 0.250 Zr
0.750 0.750 0.750 Zr
```

- formation energy (no corrections) (eV/atom) = 0.0925


CeZrFeCo: optimized geometry, PBE-GGA.

Cell and atoms, written as POSCAR:
```
CeZrFeCo
1.0
4.635 0.000 0.000
2.317 4.014 0.000
2.317 1.338 3.784
Co Zr Ce Fe
1 1 1 1
Direct
0.250 0.250 0.250 Co
0.000 0.000 0.000 Zr
0.500 0.500 0.500 Ce
0.750 0.750 0.750 Fe
```

- formation energy (meV/atom) = -24


IrSN2: optimized geometry, PBE-GGA.

Cell and atoms, written as POSCAR:
```
IrSN2
1.0
-0.175 1.412 5.855
-0.650 -1.690 5.747
2.266 -0.540 5.557
S Ir N
1 1 2
Direct
0.000 0.000 0.000 S
0.500 0.500 0.500 Ir
0.892 0.892 0.892 N
0.108 0.108 0.108 N
```

- formation energy (no corrections) (eV/atom) = 0.9071


Sc5AgRh2: optimized geometry, PBE-GGA.

Cell and atoms, written as POSCAR:
```
Sc5AgRh2
1.0
-1.041 4.496 -0.001
-4.494 -1.042 -3.654
-6.905 -1.597 8.945
Sc Ag Rh
10 2 4
Direct
0.500 0.327 0.120 Sc
0.500 0.673 0.880 Sc
0.500 0.827 0.380 Sc
0.500 0.173 0.620 Sc
0.000 0.829 0.723 Sc
0.000 0.171 0.277 Sc
0.000 0.329 0.777 Sc
0.000 0.671 0.223 Sc
0.000 0.500 0.500 Sc
0.000 0.000 0.000 Sc
0.000 0.000 0.500 Ag
0.000 0.500 0.000 Ag
0.500 0.348 0.377 Rh
0.500 0.652 0.623 Rh
0.500 0.152 0.877 Rh
0.500 0.848 0.123 Rh
```

- formation energy (meV/atom) = -504


Na2AgPt2: optimized geometry, PBE-GGA.

Cell and atoms, written as POSCAR:
```
Na2AgPt2
1.0
-3.112 -0.735 -1.804
-1.015 -2.290 2.684
-5.280 3.854 3.801
Na Ag Pt
2 1 2
Direct
0.750 0.250 0.500 Na
0.250 0.750 0.500 Na
0.000 0.000 0.000 Ag
0.406 0.406 0.187 Pt
0.594 0.594 0.813 Pt
```

- formation energy (meV/atom) = 389


SiAs2Br: optimized geometry, PBE-GGA.

Cell and atoms, written as POSCAR:
```
SiAs2Br
1.0
-3.798 -5.345 1.545
5.642 2.719 2.482
-1.548 1.608 1.757
As Br Si
2 1 1
Direct
0.000 0.000 0.000 As
0.500 0.500 0.000 As
0.500 0.000 0.500 Br
0.000 0.500 0.500 Si
```

- formation energy (no corrections) (eV/atom) = 0.6017


Ce2MnTl3Se6: optimized geometry, PBE-GGA.

Cell and atoms, written as POSCAR:
```
Ce2MnTl3Se6
1.0
7.239 0.004 -0.001
-3.614 6.273 -0.001
-1.210 -2.095 7.734
Ce Mn Tl Se
2 1 3 6
Direct
0.334 0.666 0.000 Ce
0.666 0.334 0.000 Ce
0.000 0.000 0.000 Mn
0.170 0.830 0.500 Tl
0.830 0.170 0.500 Tl
0.500 0.500 0.500 Tl
0.933 0.615 0.800 Se
0.748 0.748 0.205 Se
0.067 0.385 0.200 Se
0.615 0.933 0.800 Se
0.252 0.252 0.795 Se
0.385 0.067 0.200 Se
```

- formation energy (no corrections) (eV/atom) = -1.0337